This record from Alexandria describes crystalline TmPaMnRe at its relaxed geometry. The functional is GGA-PBE.

## Properties
* SG: F-43m
* formation enthalpy at 0 K: 0.28 eV per formula unit
* E: -8.827 eV/atom
* spin magnetization: 2.18 μB/f.u.
* mass density: 13.43 Mg/m³
* D(E_F): 3.1 states/eV/f.u.

a = 4.8223 Å, b = 4.8223 Å, c = 4.8223 Å
α = 60.00°, β = 60.00°, γ = 60.00°
Element x y z (fractional)
Tm1 0.2500 0.2500 0.2500
Pa1 0.7500 0.7500 0.7500
Mn1 0.0000 0.0000 0.0000
Re1 0.5000 0.5000 0.5000

=====

This record from Alexandria describes crystalline UPaMnRe at its relaxed geometry. The functional is GGA-PBE.

## Properties
* SG: F-43m
* formation enthalpy at 0 K: 0.86 eV per formula unit
* E: -10.386 eV/atom
* spin magnetization: 0.72 μB/f.u.
* mass density: 15.20 Mg/m³
* D(E_F): 7.9 states/eV/f.u.

a = 4.7874 Å, b = 4.7874 Å, c = 4.7874 Å
α = 60.00°, β = 60.00°, γ = 60.00°
Element x y z (fractional)
Re1 0.5000 0.5000 0.5000
U1 0.2500 0.2500 0.2500
Pa1 0.7500 0.7500 0.7500
Mn1 0.0000 0.0000 0.0000

=====

This record from Alexandria describes crystalline ZrPaMnRe at its relaxed geometry. The functional is GGA-PBE.

## Properties
* SG: F-43m
* formation enthalpy at 0 K: -0.12 eV per formula unit
* E: -9.945 eV/atom
* spin magnetization: 1.04 μB/f.u.
* mass density: 12.55 Mg/m³
* D(E_F): 3.9 states/eV/f.u.

a = 4.7245 Å, b = 4.7245 Å, c = 4.7245 Å
α = 60.00°, β = 60.00°, γ = 60.00°
Element x y z (fractional)
Zr1 0.5000 0.5000 0.5000
Pa1 0.0000 0.0000 0.0000
Re1 0.7500 0.7500 0.7500
Mn1 0.2500 0.2500 0.2500

=====

This record from Alexandria describes crystalline PaMnRh2 at its relaxed geometry. The functional is GGA-PBE.

## Properties
* SG: P4/mmm
* formation enthalpy at 0 K: -1.67 eV per formula unit
* polymorph energy (0 for the lowest one): 173 meV/atom
* E: -8.760 eV/atom
* spin magnetization: 3.81 μB/f.u.
* mass density: 11.69 Mg/m³
* D(E_F): 4.5 states/eV/f.u.

a = 3.4650 Å, b = 3.4650 Å, c = 5.8178 Å
α = 90.00°, β = 90.00°, γ = 90.00°
Element x y z (fractional)
Pa1 0.5000 0.5000 0.5000
Rh1 0.0000 0.0000 0.7558
Rh2 0.0000 0.0000 0.2442
Mn1 0.5000 0.5000 0.0000

=====

This record from Alexandria describes crystalline PaMnRh2 at its relaxed geometry. The functional is GGA-PBE.

## Properties
* SG: Fm-3m
* formation enthalpy at 0 K: -1.75 eV per formula unit
* polymorph energy (0 for the lowest one): 154 meV/atom
* E: -8.780 eV/atom
* spin magnetization: 3.73 μB/f.u.
* mass density: 11.60 Mg/m³
* D(E_F): 5.1 states/eV/f.u.

a = 4.6354 Å, b = 4.6354 Å, c = 4.6354 Å
α = 60.00°, β = 60.00°, γ = 60.00°
Element x y z (fractional)
Rh1 0.7500 0.7500 0.7500
Rh2 0.2500 0.2500 0.2500
Mn1 0.5000 0.5000 0.5000
Pa1 0.0000 0.0000 0.0000

=====

This record from Alexandria describes crystalline PaMnRh2 at its relaxed geometry. The functional is GGA-PBE.

## Properties
* SG: P4/mmm
* formation enthalpy at 0 K: -2.37 eV per formula unit
* polymorph energy (0 for the lowest one): 0 meV/atom
* E: -8.934 eV/atom
* spin magnetization: 3.53 μB/f.u.
* mass density: 12.08 Mg/m³
* D(E_F): 4.6 states/eV/f.u.

a = 3.8217 Å, b = 4.2062 Å, c = 4.2062 Å
α = 90.00°, β = 90.00°, γ = 90.00°
Element x y z (fractional)
Rh1 0.0000 0.5000 0.0000
Mn1 0.5000 0.5000 0.5000
Rh2 0.0000 0.0000 0.5000
Pa1 0.5000 0.0000 0.0000

=====

This record from Alexandria describes crystalline PaMn2Rh at its relaxed geometry. The functional is GGA-PBE.

## Properties
* SG: P4/mmm
* formation enthalpy at 0 K: -0.81 eV per formula unit
* E: -8.999 eV/atom
* spin magnetization: 5.49 μB/f.u.
* mass density: 11.16 Mg/m³
* D(E_F): 4.0 states/eV/f.u.

a = 4.2476 Å, b = 3.9425 Å, c = 3.9425 Å
α = 90.00°, β = 90.00°, γ = 90.00°
Element x y z (fractional)
Pa1 0.5000 0.5000 0.5000
Mn1 0.0000 0.0000 0.5000
Rh1 0.5000 0.0000 0.0000
Mn2 0.0000 0.5000 0.0000

=====

This record from Alexandria describes crystalline PaMnRuRh at its relaxed geometry. The functional is GGA-PBE.

## Properties
* SG: F-43m
* formation enthalpy at 0 K: -1.31 eV per formula unit
* E: -9.151 eV/atom
* spin magnetization: 4.38 μB/f.u.
* mass density: 11.70 Mg/m³
* D(E_F): 3.7 states/eV/f.u.

a = 4.6161 Å, b = 4.6161 Å, c = 4.6161 Å
α = 60.00°, β = 60.00°, γ = 60.00°
Element x y z (fractional)
Pa1 0.0000 0.0000 0.0000
Mn1 0.5000 0.5000 0.5000
Ru1 0.7500 0.7500 0.7500
Rh1 0.2500 0.2500 0.2500